This record from Alexandria describes a relaxed SrY2TcO8 crystal. The functional is GGA-PBE.

As for the space-group type: P-1 (2). The uncorrected energy is -7.715 eV/atom. The mass density is 5.390 g cm⁻³. As for the magnetic moment: 0.02 μB/atom. The calculation puts the energy relative to the elements, uncorrected at -2.329 eV per atom.

The structure in POSCAR format:
```
SrY2TcO8
1.0
4.367 0.000 0.000
0.199 5.172 0.000
1.997 -0.021 6.702
Sr Y Tc O
1 2 1 8
direct
0.000 0.000 0.000
0.394 0.517 0.286
0.606 0.483 0.714
0.000 0.000 0.500
0.171 0.300 0.592
0.223 0.778 0.626
0.237 0.499 0.007
0.343 0.976 0.253
0.657 0.024 0.747
0.763 0.501 0.993
0.777 0.222 0.374
0.829 0.700 0.408
```

***

This record from Alexandria describes a relaxed AsIr2Rh crystal. The functional is GGA-PBE.

As for the space-group type: Cm (8). The uncorrected energy is -7.332 eV/atom. The mass density is 15.537 g cm⁻³. As for the magnetic moment: 0.00 μB/atom. The value obtained for the energy of formation is 0.098 eV per atom.

The structure in POSCAR format:
```
AsIr2Rh
1.0
9.113 0.000 0.000
0.000 2.858 0.000
-1.620 0.000 4.614
As Ir Rh
2 4 2
direct
0.000 0.000 0.000
0.500 0.500 0.000
0.213 0.500 0.354
0.475 0.000 0.556
0.713 0.000 0.354
0.975 0.500 0.556
0.258 0.000 0.872
0.758 0.500 0.872
```

***

This record from Alexandria describes a relaxed Na6MgTl2 crystal. The functional is GGA-PBE.

As for the space-group type: R-3m (166). The uncorrected energy is -1.616 eV/atom. The value obtained for the distance to the lowest polymorph of the same formula is 0.011 eV per atom. The mass density is 3.305 g cm⁻³. As for the magnetic moment: 0.00 μB/atom. The value obtained for the energy of formation is -0.034 eV per atom.

The structure in POSCAR format:
```
Na6MgTl2
1.0
2.785 1.608 10.683
-2.785 1.608 10.683
0.000 -3.215 10.683
Na Mg Tl
6 1 2
direct
0.083 0.083 0.083
0.203 0.203 0.203
0.309 0.309 0.309
0.691 0.691 0.691
0.797 0.797 0.797
0.917 0.917 0.917
0.500 0.500 0.500
0.410 0.410 0.410
0.590 0.590 0.590
```

***

This record from Alexandria describes a relaxed LaHg2 crystal. The functional is GGA-PBE.

As for the space-group type: P6/mmm (191). The uncorrected energy is -2.333 eV/atom. The mass density is 11.189 g cm⁻³. As for the magnetic moment: 0.07 μB/atom. The value obtained for the energy of formation is -0.489 eV per atom.

The structure in POSCAR format:
```
LaHg2
1.0
5.129 0.000 0.000
-2.565 4.442 0.000
0.000 0.000 3.518
La Hg
1 2
direct
0.000 0.000 0.000
0.333 0.667 0.500
0.667 0.333 0.500
```

***

This record from Alexandria describes a relaxed Tb2Er6Cd crystal. The functional is GGA-PBE.

As for the space-group type: P-6m2 (187). The uncorrected energy is -4.141 eV/atom. The mass density is 8.634 g cm⁻³. As for the magnetic moment: 0.19 μB/atom. The value obtained for the energy of formation is 0.031 eV per atom.

The structure in POSCAR format:
```
Tb2Er6Cd
1.0
3.551 0.000 0.000
-1.775 3.075 0.000
0.000 0.000 25.254
Tb Er Cd
2 6 1
direct
0.000 0.000 0.177
0.000 0.000 0.823
0.000 0.000 0.400
0.000 0.000 0.600
0.667 0.333 0.066
0.667 0.333 0.290
0.667 0.333 0.710
0.667 0.333 0.934
0.667 0.333 0.500
```

***

This record from Alexandria describes a relaxed ZrRe3Rh crystal. The functional is GGA-PBE.

As for the space-group type: Pm-3m (221). The uncorrected energy is -7.947 eV/atom. The value obtained for the distance to the lowest polymorph of the same formula is 0.985 eV per atom. The mass density is 12.005 g cm⁻³. As for the magnetic moment: 0.00 μB/atom. The value obtained for the energy of formation is 2.702 eV per atom.

The structure in POSCAR format:
```
ZrRe3Rh
1.0
4.705 0.000 0.000
0.000 4.705 0.000
0.000 0.000 4.705
Zr Re Rh
1 3 1
direct
0.000 0.000 0.000
0.000 0.000 0.500
0.000 0.500 0.000
0.500 0.000 0.000
0.500 0.500 0.500
```

***

This record from Alexandria describes a relaxed HfOsSe2 crystal. The functional is GGA-PBE.

As for the space-group type: R-3m (166). The uncorrected energy is -7.024 eV/atom. The value obtained for the distance to the lowest polymorph of the same formula is 0.112 eV per atom. The mass density is 11.364 g cm⁻³. As for the magnetic moment: 0.00 μB/atom. The calculation puts the energy relative to the elements, uncorrected at 0.014 eV per atom.

The structure in POSCAR format:
```
HfOsSe2
1.0
3.217 0.000 0.000
-1.608 2.786 0.000
0.000 0.000 25.761
Hf Os Se
3 3 6
direct
0.000 0.000 0.000
0.333 0.667 0.667
0.667 0.333 0.333
0.000 0.000 0.500
0.333 0.667 0.167
0.667 0.333 0.833
0.000 0.000 0.408
0.000 0.000 0.592
0.333 0.667 0.074
0.333 0.667 0.259
0.667 0.333 0.741
0.667 0.333 0.926
```

***

This record from Alexandria describes a relaxed CeHg2Ge crystal. The functional is GGA-PBE.

As for the space-group type: R-3m (166). The uncorrected energy is -2.533 eV/atom. The value obtained for the distance to the lowest polymorph of the same formula is 0.616 eV per atom. The mass density is 10.054 g cm⁻³. As for the magnetic moment: 0.17 μB/atom. The value obtained for the energy of formation is 0.256 eV per atom.

The structure in POSCAR format:
```
CeHg2Ge
1.0
3.179 0.000 0.000
-1.590 2.753 0.000
0.000 0.000 34.753
Ce Hg Ge
3 6 3
direct
0.000 0.000 0.000
0.333 0.667 0.667
0.667 0.333 0.333
0.000 0.000 0.092
0.000 0.000 0.908
0.333 0.667 0.575
0.333 0.667 0.758
0.667 0.333 0.242
0.667 0.333 0.425
0.000 0.000 0.500
0.333 0.667 0.167
0.667 0.333 0.833
```

***

This record from Alexandria describes a relaxed Ca5Eu3Br12 crystal. The functional is GGA-PBE.

As for the space-group type: Ia-3d (230). The uncorrected energy is -4.639 eV/atom. The mass density is 3.775 g cm⁻³. As for the magnetic moment: 1.21 μB/atom. The calculation puts the energy relative to the elements, uncorrected at -1.594 eV per atom.

The structure in POSCAR format:
```
Ca5Eu3Br12
1.0
-8.923 8.923 8.923
8.923 -8.923 8.923
8.923 8.923 -8.923
Ca Eu Br
20 12 48
direct
0.000 0.000 0.000
0.000 0.000 0.500
0.000 0.500 0.000
0.000 0.500 0.500
0.125 0.750 0.875
0.125 0.875 0.250
0.250 0.125 0.875
0.250 0.625 0.375
0.375 0.250 0.625
0.375 0.625 0.750
0.500 0.000 0.000
0.500 0.000 0.500
0.500 0.500 0.000
0.500 0.500 0.500
0.625 0.375 0.250
0.625 0.750 0.375
0.750 0.375 0.625
0.750 0.875 0.125
0.875 0.125 0.750
0.875 0.250 0.125
0.125 0.250 0.375
0.125 0.375 0.750
0.250 0.375 0.125
0.250 0.875 0.625
0.375 0.125 0.250
0.375 0.750 0.125
0.625 0.250 0.875
0.625 0.875 0.750
0.750 0.125 0.375
0.750 0.625 0.875
0.875 0.625 0.250
0.875 0.750 0.625
0.047 0.217 0.131
0.047 0.330 0.916
0.084 0.631 0.414
0.084 0.953 0.670
0.086 0.717 0.670
0.086 0.869 0.416
0.131 0.047 0.217
0.131 0.584 0.914
0.170 0.217 0.586
0.170 0.453 0.584
0.217 0.131 0.047
0.217 0.586 0.170
0.283 0.330 0.914
0.283 0.453 0.369
0.330 0.914 0.283
0.330 0.916 0.047
0.369 0.283 0.453
0.369 0.586 0.916
0.414 0.084 0.631
0.414 0.830 0.783
0.416 0.086 0.869
0.416 0.830 0.547
0.453 0.369 0.283
0.453 0.584 0.170
0.547 0.416 0.830
0.547 0.631 0.717
0.584 0.170 0.453
0.584 0.914 0.131
0.586 0.170 0.217
0.586 0.916 0.369
0.631 0.414 0.084
0.631 0.717 0.547
0.670 0.084 0.953
0.670 0.086 0.717
0.717 0.547 0.631
0.717 0.670 0.086
0.783 0.414 0.830
0.783 0.869 0.953
0.830 0.547 0.416
0.830 0.783 0.414
0.869 0.416 0.086
0.869 0.953 0.783
0.914 0.131 0.584
0.914 0.283 0.330
0.916 0.047 0.330
0.916 0.369 0.586
0.953 0.670 0.084
0.953 0.783 0.869
```

***

This record from Alexandria describes a relaxed Ca crystal. The functional is GGA-PBE.

As for the space-group type: P6_3/m (176). The uncorrected energy is -1.841 eV/atom. The value obtained for the distance to the lowest polymorph of the same formula is 0.161 eV per atom. The mass density is 1.473 g cm⁻³. As for the magnetic moment: 0.00 μB/atom. The value obtained for the energy of formation is 0.161 eV per atom.

The structure in POSCAR format:
```
Ca
1.0
12.930 0.000 0.000
-6.465 11.197 0.000
0.000 0.000 3.745
Ca
12
direct
0.059 0.288 0.250
0.144 0.617 0.250
0.229 0.941 0.250
0.288 0.229 0.750
0.383 0.527 0.250
0.473 0.856 0.250
0.527 0.144 0.750
0.617 0.473 0.750
0.712 0.771 0.250
0.771 0.059 0.750
0.856 0.383 0.750
0.941 0.712 0.750
```

***

This record from Alexandria describes a relaxed NdDy2CdC crystal. The functional is GGA-PBE.

As for the space-group type: P4/mmm (123). The uncorrected energy is -5.070 eV/atom. The mass density is 7.876 g cm⁻³. As for the magnetic moment: 0.00 μB/atom. The value obtained for the energy of formation is -0.248 eV per atom.

The structure in POSCAR format:
```
NdDy2CdC
1.0
4.912 0.000 0.000
0.000 4.912 0.000
0.000 0.000 5.188
Nd Dy Cd C
1 2 1 1
direct
0.000 0.000 0.000
0.000 0.500 0.500
0.500 0.000 0.500
0.500 0.500 0.000
0.000 0.000 0.500
```

***

This record from Alexandria describes a relaxed Np2RhSe3 crystal. The functional is GGA-PBE.

As for the space-group type: Pnma (62). The uncorrected energy is -8.174 eV/atom. The mass density is 10.296 g cm⁻³. As for the magnetic moment: 1.19 μB/atom. The calculation puts the energy relative to the elements, uncorrected at -0.893 eV per atom.

The structure in POSCAR format:
```
Np2RhSe3
1.0
8.236 0.000 0.000
0.000 3.995 0.000
0.000 0.000 15.957
Np Rh Se
8 4 12
direct
0.077 0.250 0.221
0.235 0.750 0.475
0.265 0.250 0.975
0.423 0.750 0.721
0.577 0.250 0.279
0.735 0.750 0.025
0.765 0.250 0.525
0.923 0.750 0.779
0.127 0.250 0.635
0.373 0.750 0.135
0.627 0.250 0.865
0.873 0.750 0.365
0.030 0.250 0.402
0.098 0.750 0.074
0.191 0.250 0.786
0.309 0.750 0.286
0.402 0.250 0.574
0.470 0.750 0.902
0.530 0.250 0.098
0.598 0.750 0.426
0.691 0.250 0.714
0.809 0.750 0.214
0.902 0.250 0.926
0.970 0.750 0.598
```